VASP calculation (PBE-GGA) on a relaxed structure of PrHgPb2.

Cell lengths 4.6639, 4.9313, 4.9313 Å; angles 90.00, 90.00, 90.00 degrees
Closest atoms and distances in Å follow each position.
Atoms (fractional coordinates):
Hg: 0.5000 0.5000 0.5000  8 Pb 3.39, 4 Pr 3.49
Pb: 0.0000 0.5000 0.0000  4 Hg 3.39, 4 Pr 3.39, 4 Pb 3.49
Pb: 0.0000 0.0000 0.5000  4 Hg 3.39, 4 Pr 3.39, 4 Pb 3.49
Pr: 0.5000 0.0000 0.0000  8 Pb 3.39, 4 Hg 3.49

Values from the calculation:
**Energy above the most stable polymorph in this dataset**: 0 meV/atom
**Magnetic moment**: 0.00 μB per formula unit
**Formation energy from the elements**: -0.402 eV per atom
**V**: 28.35 Å³/atom
**SG**: P4/mmm (123)
**N(E_F)**: 0.399 states/eV/atom



VASP calculation (PBE-GGA) on a relaxed structure of Pr2Hg5Pb.

Cell lengths 4.6480, 6.7692, 13.6230 Å; angles 90.00, 90.00, 90.00 degrees
Closest atoms and distances in Å follow each position.
Atoms (fractional coordinates):
Pb: 0.0000 0.5000 0.0000  4 Pr 3.28, 8 Hg 3.38-3.42
Hg: 0.0000 0.0000 0.0000  6 Hg 3.33-3.39, 4 Pr 3.37, 2 Pb 3.38
Pr: 0.5000 0.2380 0.6226  2 Pb 3.28, 10 Hg 3.33-3.44
Hg: 0.0000 0.5168 0.2512  7 Hg 3.31-3.39, 4 Pr 3.33-3.38, 1 Pb 3.42
Hg: 0.5000 0.7359 0.6297  6 Hg 3.31-3.33, 4 Pr 3.37-3.44, 2 Pb 3.42
Hg: 0.5000 0.2641 0.3703  6 Hg 3.31-3.33, 4 Pr 3.37-3.44, 2 Pb 3.42
Hg: 0.5000 0.2359 0.8703  6 Hg 3.31-3.33, 4 Pr 3.37-3.44, 2 Pb 3.42
Hg: 0.5000 0.7641 0.1297  6 Hg 3.31-3.33, 4 Pr 3.37-3.44, 2 Pb 3.42
Hg: 0.0000 0.5000 0.5000  6 Hg 3.33-3.39, 4 Pr 3.37, 2 Pb 3.38
Hg: 0.0000 0.4832 0.7488  7 Hg 3.31-3.39, 4 Pr 3.33-3.38, 1 Pb 3.42
Hg: 0.0000 0.9832 0.7512  7 Hg 3.31-3.39, 4 Pr 3.33-3.38, 1 Pb 3.42
Pr: 0.5000 0.7620 0.3774  2 Pb 3.28, 10 Hg 3.33-3.44
Pr: 0.5000 0.7380 0.8774  2 Pb 3.28, 10 Hg 3.33-3.44
Pr: 0.5000 0.2620 0.1226  2 Pb 3.28, 10 Hg 3.33-3.44
Pb: 0.0000 0.0000 0.5000  4 Pr 3.28, 8 Hg 3.38-3.42
Hg: 0.0000 0.0168 0.2488  7 Hg 3.31-3.39, 4 Pr 3.33-3.38, 1 Pb 3.42

Values from the calculation:
**Magnetic moment**: 0.00 μB per formula unit
**Formation energy from the elements**: -0.384 eV per atom
**V**: 26.79 Å³/atom
**SG**: Pbam (55)
**N(E_F)**: 0.756 states/eV/atom



VASP calculation (PBE-GGA) on a relaxed structure of PrHg6Pb2.

Cell lengths 4.8933, 6.6832, 8.7211 Å; angles 67.47, 82.10, 68.98 degrees
Closest atoms and distances in Å follow each position.
Atoms (fractional coordinates):
Hg: 0.3249 0.3528 0.5000  4 Hg 3.04-3.24, 2 Pr 3.28-3.30
Pb: 0.5000 0.8363 0.8275  8 Hg 3.22-3.44, 2 Pr 3.60
Hg: 0.8320 0.4991 0.1772  4 Hg 3.16-3.29, 3 Pb 3.22-3.24, 1 Pr 3.35
Hg: 0.6751 0.6472 0.5000  4 Hg 3.04-3.24, 2 Pr 3.28-3.30
Hg: 0.1680 0.8237 0.1772  4 Hg 3.16-3.29, 3 Pb 3.22-3.24, 1 Pr 3.35
Hg: 0.1680 0.5009 0.8228  4 Hg 3.16-3.29, 3 Pb 3.22-3.24, 1 Pr 3.35
Pb: 0.5000 0.1637 0.1725  8 Hg 3.22-3.44, 2 Pr 3.60
Hg: 0.8320 0.1763 0.8228  4 Hg 3.16-3.29, 3 Pb 3.22-3.24, 1 Pr 3.35
Pr: 0.0000 0.0000 0.5000  8 Hg 3.28-3.35, 4 Pb 3.60

Values from the calculation:
**Magnetic moment**: 0.00 μB per formula unit
**Formation energy from the elements**: -0.137 eV per atom
**V**: 27.32 Å³/atom
**SG**: C2/m (12)
**N(E_F)**: 0.514 states/eV/atom



VASP calculation (PBE-GGA) on a relaxed structure of PrHg2Pb3.

Cell lengths 6.5186, 6.5186, 9.2929 Å; angles 88.80, 88.80, 118.64 degrees
Closest atoms and distances in Å follow each position.
Atoms (fractional coordinates):
Pb: 0.5567 0.8249 0.1033  4 Hg 3.20-3.41, 3 Pb 3.31-3.57, 1 Pr 3.55
Hg: 0.9309 0.6729 0.9346  1 Hg 3.04, 4 Pb 3.20-3.40, 2 Pr 3.28-3.29
Pb: 0.1751 0.4433 0.3967  4 Hg 3.20-3.41, 3 Pb 3.31-3.57, 1 Pr 3.55
Pr: 0.0944 0.9056 0.2500  4 Hg 3.28-3.29, 6 Pb 3.36-3.59
Pb: 0.3659 0.6341 0.7500  2 Pr 3.36, 4 Hg 3.40-3.49, 6 Pb 3.52-3.62
Pb: 0.4433 0.1751 0.8967  4 Hg 3.20-3.41, 3 Pb 3.31-3.57, 1 Pr 3.55
Hg: 0.6729 0.9309 0.4346  1 Hg 3.04, 4 Pb 3.20-3.40, 2 Pr 3.28-3.29
Pb: 0.6341 0.3659 0.2500  2 Pr 3.36, 4 Hg 3.40-3.49, 6 Pb 3.52-3.62
Hg: 0.3271 0.0691 0.5654  1 Hg 3.04, 4 Pb 3.20-3.40, 2 Pr 3.28-3.29
Pb: 0.8249 0.5567 0.6033  4 Hg 3.20-3.41, 3 Pb 3.31-3.57, 1 Pr 3.55
Hg: 0.0691 0.3271 0.0654  1 Hg 3.04, 4 Pb 3.20-3.40, 2 Pr 3.28-3.29
Pr: 0.9056 0.0944 0.7500  4 Hg 3.28-3.29, 6 Pb 3.36-3.59

Values from the calculation:
**Magnetic moment**: 0.00 μB per formula unit
**Formation energy from the elements**: -0.213 eV per atom
**V**: 28.86 Å³/atom
**SG**: C2/c (15)
**N(E_F)**: 0.524 states/eV/atom



VASP calculation (PBE-GGA) on a relaxed structure of Pr2HgPb2.

Cell lengths 4.8975, 7.2979, 9.0914 Å; angles 90.00, 105.63, 90.00 degrees
Closest atoms and distances in Å follow each position.
Atoms (fractional coordinates):
Pb: 0.5794 0.9877 0.1588  2 Hg 3.07-3.17, 6 Pr 3.29-3.43
Pb: 0.8219 0.9306 0.6438  2 Hg 3.00, 3 Pr 3.22-3.24
Pr: 0.9892 0.7404 0.9785  5 Pb 3.24-3.43, 2 Hg 3.35
Hg: 0.4018 0.0690 0.8036  4 Pb 3.00-3.17, 2 Pr 3.35
Pb: 0.4206 0.4877 0.8412  2 Hg 3.07-3.17, 6 Pr 3.29-3.43
Hg: 0.5982 0.5690 0.1964  4 Pb 3.00-3.17, 2 Pr 3.35
Pr: 0.2029 0.9067 0.4057  5 Pb 3.22-3.50
Pb: 0.1781 0.4306 0.3562  2 Hg 3.00, 3 Pr 3.22-3.24
Pr: 0.7971 0.4067 0.5943  5 Pb 3.22-3.50
Pr: 0.0108 0.2404 0.0215  5 Pb 3.24-3.43, 2 Hg 3.35

Values from the calculation:
**Energy above the most stable polymorph in this dataset**: 45 meV/atom
**Magnetic moment**: 0.00 μB per formula unit
**Formation energy from the elements**: -0.430 eV per atom
**V**: 31.29 Å³/atom
**SG**: Cmc2_1 (36)
**N(E_F)**: 0.266 states/eV/atom



VASP calculation (PBE-GGA) on a relaxed structure of PrHgPb2.

Cell lengths 3.6101, 3.6101, 11.5556 Å; angles 81.01, 81.01, 60.00 degrees
Closest atoms and distances in Å follow each position.
Atoms (fractional coordinates):
Hg: 0.5000 0.5000 0.5000  6 Pb 3.21
Pr: 0.0000 0.0000 0.0000  2 Pb 3.24, 6 Pr 3.61
Pb: 0.9049 0.9049 0.2853  3 Hg 3.21, 1 Pr 3.24
Pb: 0.0951 0.0951 0.7147  3 Hg 3.21, 1 Pr 3.24

Values from the calculation:
**Energy above the most stable polymorph in this dataset**: 488 meV/atom
**Magnetic moment**: 0.00 μB per formula unit
**Formation energy from the elements**: 0.086 eV per atom
**V**: 32.07 Å³/atom
**SG**: R-3m (166)
**N(E_F)**: 0.546 states/eV/atom



VASP calculation (PBE-GGA) on a relaxed structure of Pr2HgPb5.

Cell lengths 4.8991, 6.9161, 13.8577 Å; angles 90.00, 90.00, 90.00 degrees
Closest atoms and distances in Å follow each position.
Atoms (fractional coordinates):
Pr: 0.5000 0.7521 0.8746  10 Pb 3.43-3.49, 2 Hg 3.47
Pb: 0.0000 0.0000 0.0000  2 Hg 3.46, 4 Pr 3.46, 6 Pb 3.47
Pr: 0.5000 0.7479 0.3746  10 Pb 3.43-3.49, 2 Hg 3.47
Pb: 0.0000 0.9944 0.2505  4 Pr 3.44-3.48, 1 Hg 3.46, 7 Pb 3.46-3.48
Pb: 0.0000 0.0056 0.7495  4 Pr 3.44-3.48, 1 Hg 3.46, 7 Pb 3.46-3.48
Pb: 0.0000 0.5056 0.7505  4 Pr 3.44-3.48, 1 Hg 3.46, 7 Pb 3.46-3.48
Pb: 0.0000 0.5000 0.5000  2 Hg 3.46, 4 Pr 3.46, 6 Pb 3.47
Pr: 0.5000 0.2521 0.6254  10 Pb 3.43-3.49, 2 Hg 3.47
Pb: 0.5000 0.2443 0.3771  2 Hg 3.43, 4 Pr 3.43-3.49, 6 Pb 3.47-3.48
Pb: 0.5000 0.2557 0.8771  2 Hg 3.43, 4 Pr 3.43-3.49, 6 Pb 3.47-3.48
Pb: 0.0000 0.4944 0.2495  4 Pr 3.44-3.48, 1 Hg 3.46, 7 Pb 3.46-3.48
Pb: 0.5000 0.7557 0.6229  2 Hg 3.43, 4 Pr 3.43-3.49, 6 Pb 3.47-3.48
Pb: 0.5000 0.7443 0.1229  2 Hg 3.43, 4 Pr 3.43-3.49, 6 Pb 3.47-3.48
Pr: 0.5000 0.2479 0.1254  10 Pb 3.43-3.49, 2 Hg 3.47
Hg: 0.0000 0.0000 0.5000  8 Pb 3.43-3.46, 4 Pr 3.47
Hg: 0.0000 0.5000 0.0000  8 Pb 3.43-3.46, 4 Pr 3.47

Values from the calculation:
**Magnetic moment**: 0.00 μB per formula unit
**Formation energy from the elements**: -0.407 eV per atom
**V**: 29.35 Å³/atom
**SG**: Pbam (55)
**N(E_F)**: 0.462 states/eV/atom



VASP calculation (PBE-GGA) on a relaxed structure of Pr7Hg2Pb2.

Cell lengths 7.2318, 7.7299, 7.2318 Å; angles 89.99, 108.21, 90.01 degrees
Closest atoms and distances in Å follow each position.
Atoms (fractional coordinates):
Hg: 0.7198 0.0000 0.2802  7 Pr 3.09-3.28
Pb: 0.8196 0.5000 0.8196  1 Pb 3.06, 6 Pr 3.34-3.41
Pr: 0.0002 0.7127 0.4997  2 Hg 3.09, 1 Pr 3.29, 2 Pb 3.41
Pr: 0.5002 0.7530 0.4998  2 Hg 3.20-3.21, 2 Pb 3.34
Pr: 0.4997 0.2873 0.0002  2 Hg 3.09, 1 Pr 3.29, 2 Pb 3.41
Pr: 0.0000 0.0000 0.0000  2 Hg 3.28
Hg: 0.2802 0.0000 0.7198  7 Pr 3.09-3.28
Pr: 0.4998 0.2470 0.5002  2 Hg 3.20-3.21, 2 Pb 3.34
Pb: 0.1804 0.5000 0.1804  1 Pb 3.06, 6 Pr 3.34-3.41
Pr: 0.5003 0.7127 0.9998  2 Hg 3.09, 1 Pr 3.29, 2 Pb 3.41
Pr: 0.9998 0.2873 0.5003  2 Hg 3.09, 1 Pr 3.29, 2 Pb 3.41

Values from the calculation:
**Magnetic moment**: 0.00 μB per formula unit
**Formation energy from the elements**: -0.132 eV per atom
**V**: 34.91 Å³/atom
**SG**: Cmmm (65)
**N(E_F)**: 1.362 states/eV/atom